An optimized crystal structure of NbZnI2, computed with PBE.

Values from the calculation:
Total moment (μB per formula unit): 2.30
Volume (Å³ per atom): 35.520
Total energy (eV per atom): -3.4255
ΔE_f (raw) (meV/atom): 185.5

Cell and atoms, written as extended XYZ:
```
8
Lattice="-4.0548 9.2928 -0.7500 -9.0529 -4.1200 -2.1051 -7.1564 2.5400 1.2544" Properties=species:S:1:pos:R:3 pbc="T T T"
I -6.0551 7.3034 -0.5293
I -11.4087 7.1390 -1.7349
I -8.9428 4.4546 0.1817
I -9.1235 9.9414 0.2361
Nb 0.0000 0.0000 0.0000
Nb -8.8825 7.2096 -0.4616
Zn -6.5539 2.5864 -1.4276
Zn -11.3816 0.5032 -1.1391
```

An optimized crystal structure of CaPdBr2, computed with PBE.

Values from the calculation:
Total moment (μB per formula unit): 0.00
Volume (Å³ per atom): 22.727
Total energy (eV per atom): -3.5989
ΔE_f (raw) (meV/atom): -963.9

Cell and atoms, written as extended XYZ:
```
4
Lattice="0.0000 3.5688 3.5688 3.5688 0.0000 3.5688 3.5688 3.5688 0.0000" Properties=species:S:1:pos:R:3 pbc="T T T"
Ca 0.0000 0.0000 0.0000
Br 1.7844 1.7844 1.7844
Br 5.3532 5.3532 5.3532
Pd 3.5688 3.5688 3.5688
```

An optimized crystal structure of VH2Rh2, computed with PBE.

Values from the calculation:
Total moment (μB per formula unit): 0.41
Volume (Å³ per atom): 9.540
Total energy (eV per atom): -6.2552

Cell and atoms, written as extended XYZ:
```
5
Lattice="-0.3132 -2.7656 0.5085 2.7484 -0.4093 -0.5329 2.4695 -0.6712 5.7414" Properties=species:S:1:pos:R:3 pbc="T T T"
H 1.6869 -2.5121 3.1189
H 3.2177 -1.3340 2.5982
Rh 1.5818 -1.3208 1.6619
Rh 3.3228 -2.5252 4.0552
V 0.0000 0.0000 0.0000
```

An optimized crystal structure of SrVSiBr2, computed with PBE.

Values from the calculation:
Total moment (μB per formula unit): 4.70
Volume (Å³ per atom): 34.893
Total energy (eV per atom): -3.3902
ΔE_f (raw) (meV/atom): 523.7

Cell and atoms, written as extended XYZ:
```
5
Lattice="-4.7524 1.2639 2.0758 -2.4805 -0.1344 -5.5969 -1.1097 -5.1846 0.6163" Properties=species:S:1:pos:R:3 pbc="T T T"
Sr -1.2402 -0.0672 -2.7985
Si 0.0000 0.0000 0.0000
Br -0.5548 -2.5923 0.3081
Br -2.3762 0.6319 1.0379
V -4.1712 -2.0276 -1.4524
```

An optimized crystal structure of SrHfCu2S4, computed with PBE.

Values from the calculation:
Total moment (μB per formula unit): 0.00
Volume (Å³ per atom): 22.578
Total energy (eV per atom): -5.6560
ΔE_f (raw) (meV/atom): -1113.8

Cell and atoms, written as extended XYZ:
```
8
Lattice="-2.3296 -5.1994 2.4321 -1.3269 -4.8320 -3.7113 3.8094 -4.7185 1.4511" Properties=species:S:1:pos:R:3 pbc="T T T"
Sr 0.0000 0.0000 0.0000
Hf 0.0765 -7.3750 0.0859
Cu 0.4805 -4.0874 -0.3883
Cu -0.3276 -10.6626 0.5601
S 0.6842 -5.4153 1.3594
S 0.5016 -7.0293 -2.2659
S -2.2694 -7.7631 0.5073
S 1.3894 -9.2922 0.7429
```

An optimized crystal structure of CaLa2F, computed with PBE.

Values from the calculation:
Total moment (μB per formula unit): 0.00
Volume (Å³ per atom): 32.003
Total energy (eV per atom): -3.6678
ΔE_f (raw) (meV/atom): -235.9

Cell and atoms, written as extended XYZ:
```
4
Lattice="0.0000 4.0001 4.0001 4.0001 0.0000 4.0001 4.0001 4.0001 0.0000" Properties=species:S:1:pos:R:3 pbc="T T T"
Ca 4.0001 4.0001 4.0001
F 0.0000 0.0000 0.0000
La 2.0001 2.0001 2.0001
La 6.0002 6.0002 6.0002
```

An optimized crystal structure of Cs3AcGa2O6, computed with PBE.

Values from the calculation:
Total moment (μB per formula unit): 0.00
Volume (Å³ per atom): 24.322
Total energy (eV per atom): -5.5124
ΔE_f (raw) (meV/atom): -1973.0

Cell and atoms, written as extended XYZ:
```
12
Lattice="-3.1624 5.6604 -0.4541 -3.0072 -5.2153 2.4503 2.5078 1.9872 7.3074" Properties=species:S:1:pos:R:3 pbc="T T T"
Cs -1.1720 -0.0948 6.9804
Cs -2.4897 2.5272 2.3233
Cs 0.0000 0.0000 0.0000
Ac 1.2539 0.9936 3.6537
Ga -1.3573 3.4245 5.6231
Ga -2.3044 -0.9922 3.6807
O -3.7901 -0.0162 3.9348
O -0.8380 -0.2291 2.9796
O -2.2769 -2.7246 4.1521
O -2.8238 2.6615 6.3241
O 0.1283 2.4485 5.3689
O -1.3849 5.1570 5.1517
```

An optimized crystal structure of AlCuAs4, computed with PBE.

Values from the calculation:
Total moment (μB per formula unit): 0.00
Formation energy (eV/f.u.): 3.1
Volume (Å³ per atom): 19.771
Total energy (eV per atom): -3.8819

Cell and atoms, written as extended XYZ:
```
6
Lattice="-4.0819 -2.1226 -3.0415 -4.5141 2.9956 -1.0328 -0.9331 1.9174 -5.0863" Properties=species:S:1:pos:R:3 pbc="T T T"
Al 0.0000 0.0000 0.0000
Cu -7.1468 2.0928 -6.8704
As -5.6141 -0.0144 -4.9558
As -4.0402 2.0049 -5.9779
As -5.8301 2.5439 -3.9518
As -3.5738 1.0465 -3.4356
```